The following is a GGA-PBE calculation of crystalline BeRe at its relaxed geometry, from Alexandria via LeMat-Bulk.

```
4
Lattice="-2.613 -0.207 -0.420 1.445 -0.664 -2.126 0.192 -7.357 2.427" Properties=species:S:1:pos:R:3 pbc="T T T"
Re -0.539 -2.140 -0.711
Re 0.100 -3.813 1.258
Be 0.189 -7.235 2.387
Be -0.437 -6.074 0.587
```

excess energy over the best structure of this formula in the dataset = 457 meV per atom
E_form = 26.7 kJ per mole of atoms
spin magnetization = 0.0 μB per formula unit